Here is a relaxed NaCaSeO4 crystal from the Alexandria database. Energies are from PBE.

Results
- spin magnetization (μB per cell) = 1.5
- space group = Imma
- calculated density (g cm⁻³) = 3.489
- ΔE_f (raw) (eV/atom) = -1.5035

Cell and atoms, written as POSCAR:
```
NaCaSeO4
1.0
6.507 0.000 0.000
3.254 5.596 -0.094
3.254 1.616 5.358
Na Ca Se O
2 2 2 8
direct
0.500 0.000 0.500 Na
0.000 0.000 0.500 Na
0.000 0.000 0.000 Ca
0.000 0.500 0.500 Ca
0.613 0.637 0.137 Se
0.387 0.363 0.863 Se
0.727 0.731 0.815 O
0.273 0.685 0.769 O
0.727 0.315 0.231 O
0.273 0.269 0.185 O
0.251 0.743 0.243 O
0.763 0.743 0.243 O
0.237 0.257 0.757 O
0.749 0.257 0.757 O
```

---

Here is a relaxed Cs2ZnAuI crystal from the Alexandria database. Energies are from PBE.

Results
- energy relative to the lowest polymorph listed for this composition (eV/atom) = 0.426
- spin magnetization (μB per cell) = 0.0
- space group = P4/mmm
- calculated density (g cm⁻³) = 3.803
- ΔE_f (raw) (eV/atom) = -0.2145

Cell and atoms, written as POSCAR:
```
Cs2ZnAuI
1.0
7.001 0.000 0.000
0.000 5.836 0.000
0.000 0.000 7.001
Cs I Zn Au
2 1 1 1
direct
0.000 0.000 0.500 Cs
0.500 0.000 0.000 Cs
0.000 0.500 0.000 I
0.000 0.000 0.000 Zn
0.500 0.500 0.500 Au
```

---

Here is a relaxed Mg2PbCl crystal from the Alexandria database. Energies are from PBE.

Results
- energy relative to the lowest polymorph listed for this composition (eV/atom) = 0.351
- spin magnetization (μB per cell) = 0.0
- space group = Fm-3m
- calculated density (g cm⁻³) = 4.923
- ΔE_f (raw) (eV/atom) = -0.2091

Cell and atoms, written as POSCAR:
```
Mg2PbCl
1.0
2.310 -4.347 1.609
-2.193 -4.597 -0.937
2.127 -3.230 -3.445
Pb Mg Cl
1 2 1
direct
0.500 0.500 0.500 Pb
0.250 0.250 0.250 Mg
0.750 0.750 0.750 Mg
0.000 0.000 0.000 Cl
```

---

Here is a relaxed La2Tb3Pm6 crystal from the Alexandria database. Energies are from PBE.

Results
- energy relative to the lowest polymorph listed for this composition (eV/atom) = 0.276
- formation energy (meV/atom) = 443.1
- spin magnetization (μB per cell) = 0.0
- space group = I4/mmm
- calculated density (g cm⁻³) = 6.657

Cell and atoms, written as POSCAR:
```
La2Tb3Pm6
1.0
-0.586 5.503 -1.306
-3.617 -1.374 -4.167
-7.482 -1.181 10.763
La Tb Pm
2 3 6
direct
0.442 0.442 0.883 La
0.558 0.558 0.117 La
0.000 0.000 0.000 Tb
0.836 0.836 0.671 Tb
0.164 0.164 0.329 Tb
0.097 0.597 0.193 Pm
0.597 0.097 0.193 Pm
0.903 0.403 0.807 Pm
0.403 0.903 0.807 Pm
0.698 0.698 0.396 Pm
0.302 0.302 0.604 Pm
```

---

Here is a relaxed Er2TmZn2 crystal from the Alexandria database. Energies are from PBE.

Results
- energy relative to the lowest polymorph listed for this composition (eV/atom) = 0.000
- formation energy (meV/atom) = -274.4
- spin magnetization (μB per cell) = 0.0
- space group = P2_1/m
- calculated density (g cm⁻³) = 8.917

Cell and atoms, written as POSCAR:
```
Er2TmZn2
1.0
3.533 0.000 -0.474
0.000 5.081 0.000
-0.037 0.000 13.164
Er Tm Zn
4 2 4
direct
0.046 0.750 0.092 Er
0.954 0.250 0.908 Er
0.232 0.750 0.465 Er
0.768 0.250 0.535 Er
0.855 0.750 0.712 Tm
0.145 0.250 0.288 Tm
0.640 0.750 0.280 Zn
0.360 0.250 0.720 Zn
0.451 0.750 0.901 Zn
0.549 0.250 0.099 Zn
```

---

Here is a relaxed RbSbSI2 crystal from the Alexandria database. Energies are from PBE.

Results
- energy relative to the lowest polymorph listed for this composition (eV/atom) = 0.000
- spin magnetization (μB per cell) = 0.0
- space group = P4/mmm
- calculated density (g cm⁻³) = 4.110
- ΔE_f (raw) (eV/atom) = -0.6076

Cell and atoms, written as POSCAR:
```
RbSbSI2
1.0
-1.428 -2.153 -5.674
6.016 0.260 -1.613
0.653 -4.805 1.659
I Sb S Rb
2 1 1 1
direct
0.000 0.500 0.000 I
0.500 0.000 0.000 I
0.000 0.000 0.000 Sb
0.000 0.000 0.500 S
0.500 0.500 0.500 Rb
```

---

Here is a relaxed LiLaZr4 crystal from the Alexandria database. Energies are from PBE.

Results
- formation energy (meV/atom) = 412.8
- spin magnetization (μB per cell) = 0.0
- space group = F-43m
- calculated density (g cm⁻³) = 5.382

Cell and atoms, written as POSCAR:
```
LiLaZr4
1.0
-2.335 -3.717 -4.182
-5.344 1.289 -2.556
-0.245 1.738 -5.803
Li La Zr
1 1 4
direct
0.000 0.000 0.000 Li
0.750 0.750 0.750 La
0.869 0.377 0.377 Zr
0.377 0.377 0.869 Zr
0.377 0.869 0.377 Zr
0.377 0.377 0.377 Zr
```

---

Here is a relaxed SrIn3Au3 crystal from the Alexandria database. Energies are from PBE.

Results
- energy relative to the lowest polymorph listed for this composition (eV/atom) = 0.000
- formation energy (meV/atom) = -479.4
- spin magnetization (μB per cell) = 0.0
- space group = Pmmn
- calculated density (g cm⁻³) = 9.977

Cell and atoms, written as POSCAR:
```
SrIn3Au3
1.0
4.601 0.000 0.000
0.000 7.940 0.000
0.000 0.000 9.321
Sr In Au
2 6 6
direct
0.500 0.000 0.724 Sr
0.000 0.500 0.276 Sr
0.000 0.301 0.885 In
0.500 0.199 0.115 In
0.000 0.699 0.885 In
0.000 0.000 0.368 In
0.500 0.801 0.115 In
0.500 0.500 0.632 In
0.000 0.730 0.591 Au
0.500 0.770 0.409 Au
0.500 0.500 0.953 Au
0.000 0.000 0.047 Au
0.500 0.230 0.409 Au
0.000 0.270 0.591 Au
```

---

Here is a relaxed ZrGa3Bi crystal from the Alexandria database. Energies are from PBE.

Results
- energy relative to the lowest polymorph listed for this composition (eV/atom) = 0.000
- formation energy (meV/atom) = 497.5
- spin magnetization (μB per cell) = 0.0
- space group = Pm-3m
- calculated density (g cm⁻³) = 5.848

Cell and atoms, written as POSCAR:
```
ZrGa3Bi
1.0
-2.241 -4.440 1.680
4.235 -2.709 -1.510
2.144 0.711 4.738
Ga Bi Zr
3 1 1
direct
0.000 0.500 0.000 Ga
0.000 0.000 0.500 Ga
0.500 0.000 0.000 Ga
0.500 0.500 0.500 Bi
0.000 0.000 0.000 Zr
```

---

Here is a relaxed YSbTe2O crystal from the Alexandria database. Energies are from PBE.

Results
- energy relative to the lowest polymorph listed for this composition (eV/atom) = 1.225
- spin magnetization (μB per cell) = 0.0
- space group = P4/mmm
- calculated density (g cm⁻³) = 4.335
- ΔE_f (raw) (eV/atom) = 0.6744

Cell and atoms, written as POSCAR:
```
YSbTe2O
1.0
-2.242 -4.559 -2.424
1.426 -3.183 4.666
-4.976 1.202 2.341
Y Sb Te O
1 1 2 1
direct
0.000 0.500 0.000 Y
0.000 0.000 0.000 Sb
0.000 0.000 0.500 Te
0.500 0.000 0.000 Te
0.500 0.500 0.500 O
```

---

Here is a relaxed Pt2C crystal from the Alexandria database. Energies are from PBE.

Results
- energy relative to the lowest polymorph listed for this composition (eV/atom) = 0.236
- formation energy (meV/atom) = 793.1
- spin magnetization (μB per cell) = 0.0
- space group = Cmcm
- calculated density (g cm⁻³) = 16.601

Cell and atoms, written as POSCAR:
```
Pt2C
1.0
5.955 6.925 -1.843
-6.365 -5.149 4.449
2.013 -1.394 1.266
Pt C
4 2
direct
0.570 0.430 0.750 Pt
0.430 0.570 0.250 Pt
0.197 0.803 0.750 Pt
0.803 0.197 0.250 Pt
0.893 0.107 0.750 C
0.107 0.893 0.250 C
```

---

Here is a relaxed Pm3In2Ge crystal from the Alexandria database. Energies are from PBE.

Results
- formation energy (meV/atom) = -440.8
- spin magnetization (μB per cell) = 0.0
- space group = C2/m
- calculated density (g cm⁻³) = 6.750

Cell and atoms, written as POSCAR:
```
Pm3In2Ge
1.0
-1.637 -2.203 7.684
-3.456 -5.890 1.907
6.322 -4.240 1.875
Pm In Ge
6 4 2
direct
0.443 0.643 0.754 Pm
0.306 0.000 0.192 Pm
0.557 0.357 0.246 Pm
0.914 0.643 0.246 Pm
0.086 0.357 0.754 Pm
0.694 0.000 0.808 Pm
0.000 0.000 0.000 In
0.500 0.000 0.500 In
0.127 0.745 0.500 In
0.873 0.255 0.500 In
0.697 0.607 0.000 Ge
0.303 0.393 0.000 Ge
```